Below is a relaxed structure of Er2FeCo, with properties calculated at the GGA-PBE level.

Calculated values
Raw total energy, eV/cell: -22.390
Magnetic moment, μB/f.u.: 2.18
Volume, Å³/f.u.: 85
Space group: R-3m, No. 166
Formation energy from the elements, kJ/mol of formula units: 222

Cell: 3.2798 3.2798 9.2886 Å, 79.83 79.83 60.00°
Each line ends with the local moment (μB).
Sites, in units of the cell vectors:
Co 0.5000 0.5000 0.5000  0.05
Fe 0.0000 0.0000 0.0000  2.69
Er 0.0983 0.0983 0.7051  -0.24
Er 0.9017 0.9017 0.2949  -0.24


Below is a relaxed structure of ErGa3FeCo, with properties calculated at the GGA-PBE level.

Calculated values
Raw total energy, eV/cell: -60.506
Magnetic moment, μB/f.u.: 0.00
Volume, Å³/f.u.: 105
Space group: Cmcm, No. 63
Formation energy from the elements, kJ/mol of formula units: -100

Cell: 5.4738 7.6029 6.3128 Å, 127.03 90.00 90.00°
Sites, in units of the cell vectors:
Er 0.7500 0.2925 0.5850
Er 0.2500 0.7075 0.4150
Ga 0.2500 0.1976 0.3952
Ga 0.0000 0.2555 0.0000
Ga 0.5000 0.7445 0.0000
Ga 0.5000 0.2555 0.0000
Ga 0.0000 0.7445 0.0000
Ga 0.7500 0.8024 0.6048
Fe 0.2500 0.4270 0.8540
Fe 0.7500 0.5730 0.1460
Co 0.2500 0.9693 0.9387
Co 0.7500 0.0307 0.0613


Number 2 is which compound?
ErGa3FeCo